First-principles (PBE-GGA) data for crystalline Ba2Bi3Au5 at its relaxed geometry, as listed in Alexandria.

It has space group Ibam (No. 72), with a = 11.5582 Å, b = 14.0404 Å, c = 7.0909 Å, α = 90.00°, β = 90.00° and γ = 90.00°. Symmetry generates all atoms from Ba at (0.2328, 0.1282, 0.0000), Bi at (0.0000, 0.5000, 0.2500), Bi at (0.1115, 0.1363, 0.5000), Au at (0.0000, 0.0000, 0.2500), Au at (0.0000, 0.2765, 0.2500) and Au at (0.1481, 0.3805, 0.0000).

Its density of states at the Fermi level is 0.478 states/eV per atom. As for the formation energy: -4.83 eV/f.u. The magnetic moment comes out at 0.000 μB/f.u.